The following is a DFT calculation (GGA-PBE) of a relaxed structure of Be3Pb4.

```
Be3Pb4
1.0
4.974 0.000 0.000
-2.487 4.308 0.000
0.000 0.000 7.764
Be Pb
3 4
Cartesian
-1.244 2.154 0.000 Be
2.487 0.000 0.000 Be
1.244 2.154 0.000 Be
0.000 0.000 1.612 Pb
0.000 0.000 6.153 Pb
0.000 2.872 3.882 Pb
2.487 1.436 3.882 Pb
```

***

The following is a DFT calculation (GGA-PBE) of a relaxed structure of Be3Pb.

Computed properties:
* excess energy over the best structure of this formula in the dataset: 354.2 meV per atom

```
Be3Pb
1.0
2.923 0.000 0.000
0.000 2.923 0.000
0.000 0.000 7.002
Be Pb
3 1
Cartesian
0.000 0.000 0.000 Be
1.461 1.461 1.095 Be
1.461 1.461 5.907 Be
0.000 0.000 3.501 Pb
```

***

The following is a DFT calculation (GGA-PBE) of a relaxed structure of Be2Pb3.

```
Be2Pb3
1.0
0.000 7.540 3.081
4.922 0.000 3.081
4.922 7.540 0.000
Be Pb
4 6
Cartesian
3.128 1.874 1.540 Be
5.590 1.896 3.081 Be
1.794 5.666 1.540 Be
4.255 13.183 3.081 Be
4.058 4.380 2.627 Pb
8.248 8.149 4.167 Pb
5.787 10.700 2.627 Pb
4.922 7.540 4.215 Pb
7.384 11.309 5.755 Pb
6.519 14.469 4.167 Pb
```

***

Record-wise energy of formation values, in eV/atom: 0.5555 0.6837 0.5383
Record-wise ρ values, in g cm⁻³: 8.541 6.503 9.290
Record-wise magnetization values, in μB/atom: 0.00 0.00 0.00